1.
VASP calculation (PBE) on ScNb3N4 after structural relaxation.

The structure in POSCAR format:
```
ScNb3N4
1.0
3.160 0.000 0.000
0.000 5.148 -1.760
0.000 -0.047 5.441
Nb Sc N
3 1 4
direct
0.000 0.500 0.000
0.000 0.000 0.500
0.500 0.500 0.500
0.500 0.000 0.000
0.000 0.247 0.247
0.000 0.753 0.753
0.500 0.248 0.752
0.500 0.752 0.248
```

Summary:
Its crystal system is orthorhombic. The value obtained for the magnetic moment is 0.00 μB per formula unit. The value obtained for the density of states at the Fermi level is 1.89 states/eV/cell. The total energy is -79.5 eV/cell. The volume is 88 Å³/f.u. Its symmetry is Cmmm (65).


2.
VASP calculation (PBE) on TaNi2Br after structural relaxation.

The structure in POSCAR format:
```
TaNi2Br
1.0
3.112 0.000 0.000
0.000 3.260 -0.282
0.000 0.590 6.981
Br Ni Ta
1 2 1
direct
0.500 0.752 0.736
0.000 0.749 0.084
0.500 0.249 0.255
0.000 0.750 0.425
```

Summary:
The energy above the most stable polymorph in this dataset comes out at 0 meV/atom. Its crystal system is monoclinic. The value obtained for the magnetic moment is 0.00 μB per formula unit. The value obtained for the density of states at the Fermi level is 3.38 states/eV/cell. The total energy is -24.6 eV/cell. The volume is 71 Å³/f.u. Its symmetry is Pm (6).


3.
VASP calculation (PBE) on CaNiIr2 after structural relaxation.

The structure in POSCAR format:
```
CaNiIr2
1.0
-2.929 -2.472 1.459
1.708 0.058 3.527
-2.147 3.127 0.988
Ca Ni Ir
1 1 2
direct
0.500 0.000 0.500
0.500 0.500 0.000
0.000 0.500 0.500
0.000 0.000 0.000
```

Summary:
The energy above the most stable polymorph in this dataset comes out at 99 meV/atom. Its crystal system is tetragonal. The value obtained for the magnetic moment is 0.00 μB per formula unit. The value obtained for the density of states at the Fermi level is 3.22 states/eV/cell. The total energy is -25.0 eV/cell. The volume is 63 Å³/f.u. Its symmetry is P4/mmm (123). For the formation enthalpy at 0 K, the calculation gives 11 kJ/mol of atoms.


4.
VASP calculation (PBE) on Co3SiB after structural relaxation.

The structure in POSCAR format:
```
Co3SiB
1.0
-0.715 -0.005 -3.742
-2.360 -4.937 0.458
-3.021 4.550 0.571
B Co Si
2 6 2
direct
0.000 0.000 0.000
0.500 0.000 0.000
0.750 0.185 0.815
0.250 0.815 0.630
0.750 0.185 0.370
0.750 0.630 0.815
0.250 0.370 0.185
0.250 0.815 0.185
0.250 0.333 0.667
0.750 0.667 0.333
```

Summary:
The energy above the most stable polymorph in this dataset comes out at 0 meV/atom. Its crystal system is hexagonal. The value obtained for the magnetic moment is 0.00 μB per formula unit. The value obtained for the density of states at the Fermi level is 11.91 states/eV/cell. The total energy is -69.1 eV/cell. The volume is 50 Å³/f.u. Its symmetry is P6_3/mmc (194).